(1)
The following is a GGA-PBE calculation of an optimized crystal structure of Li3Cu2Rh2, from Alexandria via LeMat-Bulk.

Cell: 4.0348 5.2962 4.7243 Å, 89.19 115.31 90.03°
Closest atoms and distances in Å follow each position.
Fractional coordinates of all 7 atoms:
1 Cu 0.5606 0.2874 0.1215  1 Cu 2.46, 4 Li 2.50-2.61, 3 Rh 2.60-2.64
2 Cu 0.4394 0.7126 0.8785  1 Cu 2.46, 4 Li 2.50-2.61, 3 Rh 2.60-2.64
3 Li 0.0000 0.0000 0.0000  6 Li 2.55-2.83, 4 Cu 2.58-2.59, 2 Rh 2.62
4 Li 0.7167 0.8587 0.4329  3 Rh 2.50-2.63, 2 Cu 2.50-2.61, 3 Li 2.55-2.58
5 Li 0.2833 0.1413 0.5671  3 Rh 2.50-2.63, 2 Cu 2.50-2.61, 3 Li 2.55-2.58
6 Rh 0.1464 0.5618 0.2920  4 Li 2.50-2.63, 3 Rh 2.59-2.76, 5 Cu 2.60-2.79
7 Rh 0.8536 0.4382 0.7080  4 Li 2.50-2.63, 3 Rh 2.59-2.76, 5 Cu 2.60-2.79

Properties
Energy of formation from the pure elements   -0.081 eV per atom
DOS at the Fermi energy   3.8 states/eV per cell
Volume   13.04 Å³ per atom
Total magnetization   0.000 μB per atom
Space-group type   C2/m (12)
Uncorrected energy   -4.1715 eV/atom

***

(2)
The following is a GGA-PBE calculation of an optimized crystal structure of LiCuRh4, from Alexandria via LeMat-Bulk.

Cell: 5.1091 5.1091 5.1091 Å, 60.00 60.00 60.00°
Closest atoms and distances in Å follow each position.
Fractional coordinates of all 6 atoms:
1 Rh 0.3751 0.8748 0.3751  6 Rh 2.55-2.56
2 Rh 0.3751 0.3751 0.8748  6 Rh 2.55-2.56
3 Rh 0.3751 0.3751 0.3751  6 Rh 2.55-2.56
4 Rh 0.8748 0.3751 0.3751  6 Rh 2.55-2.56
5 Cu 0.7500 0.7500 0.7500  12 Rh 3.00, 4 Li 3.13
6 Li 0.0000 0.0000 0.0000  12 Rh 3.00, 4 Cu 3.13

Properties
Energy of formation from the pure elements   0.312 eV per atom
DOS at the Fermi energy   11.7 states/eV per cell
Volume   15.72 Å³ per atom
Total magnetization   0.381 μB per atom
Space-group type   F-43m (216)
Uncorrected energy   -5.5906 eV/atom

***

(3)
The following is a GGA-PBE calculation of an optimized crystal structure of LiCu2Rh, from Alexandria via LeMat-Bulk.

Cell: 2.6002 2.6002 8.7702 Å, 90.00 90.00 116.39°
Closest atoms and distances in Å follow each position.
Fractional coordinates of all 4 atoms:
1 Li 0.5000 0.5000 0.2500  4 Cu 2.57, 6 Li 2.60-2.74
2 Rh 0.5000 0.5000 0.7500  6 Rh 2.60-2.74, 4 Cu 2.61
3 Cu 0.0000 0.0000 0.4972  2 Li 2.57, 6 Cu 2.60-2.74, 2 Rh 2.61
4 Cu 0.0000 0.0000 0.0028  2 Li 2.57, 6 Cu 2.60-2.74, 2 Rh 2.61

Properties
Energy of formation from the pure elements   0.069 eV per atom
DOS at the Fermi energy   3.6 states/eV per cell
Volume   13.28 Å³ per atom
Total magnetization   0.065 μB per atom
Space-group type   Cmmm (65)
Uncorrected energy   -4.2952 eV/atom

***

(4)
The following is a GGA-PBE calculation of an optimized crystal structure of Li3CuRh, from Alexandria via LeMat-Bulk.

Cell: 4.3253 4.3253 4.3253 Å, 90.00 90.00 90.00°
Closest atoms and distances in Å follow each position.
Fractional coordinates of all 5 atoms:
1 Li 0.5000 0.0000 0.0000  2 Cu 2.16
2 Li 0.0000 0.0000 0.5000  2 Cu 2.16
3 Li 0.0000 0.5000 0.0000  2 Cu 2.16
4 Cu 0.0000 0.0000 0.0000  6 Li 2.16
5 Rh 0.5000 0.5000 0.5000  12 Li 3.06

Properties
Energy of formation from the pure elements   0.535 eV per atom
DOS at the Fermi energy   3.9 states/eV per cell
ΔE to the lowest computed polymorph   2.86 eV/f.u.
Volume   16.18 Å³ per atom
Total magnetization   0.163 μB per atom
Space-group type   Pm-3m (221)
Uncorrected energy   -2.9024 eV/atom